(1)
18
Lattice="-9.6679 -0.2657 -2.5380 -6.4242 -4.8564 -5.9267 -8.0404 -5.9343 0.3428" Properties=species:S:1:pos:R:3 comment="Li3La2SbPd12 (PBE, relaxed)" spacegroup=R-3m formation_energy_uncorrected_kj_per_mol_atoms=-36.9 total_energy_ev_per_atom=-4.94 pbc="T T T"
Pd -7.4240 -1.5953 -2.1881
Pd -11.6787 -4.5584 -2.3716
Pd -18.1154 -7.4698 -4.4639
Pd -13.7970 -4.5969 -4.3470
Pd -6.7181 -4.0541 -0.9386
Pd -16.7084 -9.4610 -5.9338
Pd -6.0171 -3.5866 -3.6580
Pd -13.1230 -6.9443 -3.1541
Pd -10.3354 -6.4594 -3.7749
Pd -11.0094 -4.1120 -4.9678
Pd -12.4538 -6.4979 -5.7503
Pd -17.4143 -7.0022 -7.1833
Li -4.0202 -2.9671 0.1714
Li -4.8340 -0.1328 -1.2690
Li -3.2121 -2.4282 -2.9634
La -8.8996 -4.0773 -2.9952
La -15.2329 -6.9790 -5.1267
Sb 0.0000 0.0000 0.0000

---

(2)
8
Lattice="-1.6503 0.8129 4.0079 -4.3426 -0.3121 0.7013 -1.0545 -8.2483 3.6649" Properties=species:S:1:pos:R:3 comment="Li2LaScPd4 (PBE, relaxed)" spacegroup=R-3m delta_e_f_ev_per_atom=-0.66 total_energy_ev_per_atom=-5.15 pbc="T T T"
Sc -3.5237 -3.8738 4.1871
Pd -1.4119 -5.0597 2.8711
Pd -5.6356 -2.6878 5.5031
Pd -3.8148 -1.2766 3.5404
Pd -3.2326 -6.4709 4.8337
Li -5.3208 -5.4963 6.2023
Li -1.7266 -2.2512 2.1718
La 0.0000 0.0000 0.0000

---

(3)
10
Lattice="5.8698 0.0189 -0.0111 -0.0259 7.4744 -1.1092 2.9331 2.9396 4.1475" Properties=species:S:1:pos:R:3 comment="LiLa2SiPd6 (PBE, relaxed)" spacegroup=C2/m formation_energy_uncorrected_kj_per_mol_atoms=-62.2 total_energy_ev_per_atom=-5.48 pbc="T T T"
Pd 2.9274 3.5431 1.7468
Pd 1.3859 5.4742 -0.7063
Pd 4.3318 4.9481 3.7399
Pd 7.3911 4.9587 3.7335
Pd 4.4452 5.4849 -0.7126
Pd 5.8496 6.8899 1.2805
La 5.8643 3.0500 2.0108
La 2.9127 7.3829 1.0164
Si 2.9219 3.7467 -0.5601
Li 0.0000 0.0000 0.0000

---

(4)
12
Lattice="-2.5638 2.8930 4.7423 -2.1414 -5.0063 1.8964 6.1111 1.5903 2.3337" Properties=species:S:1:pos:R:3 comment="LiLaSiPd3 (PBE, relaxed)" spacegroup=Cmcm formation_energy_uncorrected_kj_per_mol_atoms=-60.2 total_energy_ev_per_atom=-5.26 pbc="T T T"
Pd -1.8285 0.1685 2.8553
Pd -0.5467 -1.2780 0.4841
Pd 0.2111 -0.9138 6.5915
Pd -1.5948 -3.7283 1.4123
Pd 1.1948 0.3908 2.3809
Pd -2.8767 -2.2818 3.7834
Li 2.4053 -2.5255 4.8143
Li -0.9994 2.0025 4.1580
Si 3.2482 0.0189 3.7178
Si -1.8423 -0.5419 5.2545
La 1.2461 1.5958 5.6201
La 0.1598 -2.1188 3.3523

---

(5)
5
Lattice="4.2239 0.0000 0.0000 0.0000 4.2239 0.0000 -2.1120 -2.1120 5.1689" Properties=species:S:1:pos:R:3 comment="LiLaSi2Pd (PBE, relaxed)" spacegroup=I-4m2 formation_energy_uncorrected_kj_per_mol_atoms=-73.6 total_energy_ev_per_atom=-5.34 pbc="T T T"
Pd 0.0000 2.1120 2.5845
Si 2.1120 2.1120 1.1872
Si 0.0000 0.0000 3.9817
La 0.0000 0.0000 0.0000
Li 2.1120 0.0000 2.5845

---

(6)
10
Lattice="-3.7712 -2.0380 0.2655 2.0204 -3.7779 -0.3022 0.8857 -0.3301 10.0468" Properties=species:S:1:pos:R:3 comment="LiLa2Si4Pd3 (PBE, relaxed)" spacegroup=P-4m2 formation_energy_uncorrected_kj_per_mol_atoms=-77.4 total_energy_ev_per_atom=-5.71 pbc="T T T"
La -1.6649 -1.1013 2.6365
La 1.6751 -2.1368 7.3919
Pd 1.1157 -1.9283 1.0458
Pd -1.1054 -1.3098 8.9826
Pd 0.4428 -0.1651 5.0234
Li -0.4326 -3.0730 5.0050
Si 1.3336 -2.0095 3.5176
Si -1.3233 -1.2286 6.5108
Si -0.8754 -2.9080 -0.0184
Si 0.0000 0.0000 0.0000

---

(7)
6
Lattice="4.2261 0.0000 0.0000 -2.1130 3.6599 0.0000 0.0000 0.0000 6.9794" Properties=species:S:1:pos:R:3 comment="LiLaSi2Pd2 (PBE, relaxed)" spacegroup=P-3m1 formation_energy_uncorrected_kj_per_mol_atoms=-78.7 total_energy_ev_per_atom=-5.49 pbc="T T T"
Pd 2.1130 1.2200 2.5197
Pd 0.0000 2.4399 4.4597
Si 2.1130 1.2200 4.9895
Si 0.0000 2.4399 1.9899
Li 0.0000 0.0000 3.4897
La 0.0000 0.0000 0.0000

---

(8)
5
Lattice="-1.2407 -0.2897 -4.3268 4.2645 -0.8982 -1.1627 -2.5137 -5.0211 3.4080" Properties=species:S:1:pos:R:3 comment="LiLaSn2Pd (PBE, relaxed)" spacegroup=I-4m2 delta_e_f_ev_per_atom=-0.70 total_energy_ev_per_atom=-4.71 pbc="T T T"
Sn -0.7551 -4.2322 0.4999
Sn 1.2651 -1.9768 -2.5814
La 0.0000 0.0000 0.0000
Li 1.6313 -3.2566 -0.2498
Pd -1.1213 -2.9524 -1.8318

---

(9)
9
Lattice="4.2299 0.0000 0.0000 0.0000 4.2299 0.0000 0.0000 0.0000 10.2746" Properties=species:S:1:pos:R:3 comment="LiLaSn2Pd5 (PBE, relaxed)" spacegroup=P4/mmm delta_e_f_ev_per_atom=-0.55 total_energy_ev_per_atom=-5.09 pbc="T T T"
Li 0.0000 0.0000 0.0000
La 0.0000 0.0000 5.1373
Sn 2.1149 2.1149 1.4102
Sn 2.1149 2.1149 8.8644
Pd 2.1149 2.1149 5.1373
Pd 0.0000 2.1149 3.0020
Pd 2.1149 0.0000 3.0020
Pd 0.0000 2.1149 7.2726
Pd 2.1149 0.0000 7.2726

---

(10)
10
Lattice="4.5909 0.0000 0.0000 0.0000 4.5909 0.0000 0.0000 0.0000 10.9858" Properties=species:S:1:pos:R:3 comment="LiLa2Sn4Pd3 (PBE, relaxed)" spacegroup=P-4m2 delta_e_f_ev_per_atom=-0.76 total_energy_ev_per_atom=-5.10 pbc="T T T"
Sn 0.0000 2.2954 4.0702
Sn 2.2954 2.2954 0.0000
Sn 2.2954 0.0000 6.9155
Sn 0.0000 0.0000 0.0000
La 0.0000 2.2954 8.1747
La 2.2954 0.0000 2.8111
Li 2.2954 2.2954 5.4929
Pd 2.2954 0.0000 9.5532
Pd 0.0000 0.0000 5.4929
Pd 0.0000 2.2954 1.4325

---

(11)
8
Lattice="-3.8534 -2.4205 -0.5523 0.1721 -4.5778 -0.1603 -2.1595 -2.6433 7.6291" Properties=species:S:1:pos:R:3 comment="Li2LaSnPd4 (PBE, relaxed)" spacegroup=R-3m delta_e_f_ev_per_atom=-0.61 total_energy_ev_per_atom=-4.80 pbc="T T T"
Pd -2.6093 -4.7172 0.8338
Pd -1.8063 -2.5257 4.6493
Pd -4.0345 -7.1159 2.2672
Pd -3.2314 -4.9244 6.0827
Sn -2.9204 -4.8208 3.4582
Li -4.3508 -7.2213 4.9365
Li -1.4899 -2.4203 1.9799
La 0.0000 0.0000 0.0000

---

(12)
8
Lattice="-1.8538 -2.0652 3.5744 -1.9406 -4.0589 -0.4871 6.3730 -5.9008 2.7604" Properties=species:S:1:pos:R:3 comment="LiLaSn2Pd4 (PBE, relaxed)" spacegroup=R-3m delta_e_f_ev_per_atom=-0.72 total_energy_ev_per_atom=-5.18 pbc="T T T"
Pd 3.5551 -7.1574 3.4375
Pd -0.7628 -7.6560 3.7745
Pd -0.9764 -4.8676 2.4103
Pd 3.3414 -4.3689 2.0732
Sn 0.9357 -3.1533 1.5279
Sn 1.6429 -8.8716 4.3198
La 0.0000 0.0000 0.0000
Li 1.2893 -6.0125 2.9239

---

(13)
5
Lattice="-1.5464 3.9839 3.7795 -3.1270 -3.8665 2.7962 4.2989 -1.2510 3.0776" Properties=species:S:1:pos:R:3 comment="SrLiLa2Pd (PBE, relaxed)" spacegroup=P4/mmm polymorph_energy_ev_per_atom=0.000 delta_e_f_ev_per_atom=-0.14 total_energy_ev_per_atom=-3.87 pbc="T T T"
La -1.5635 -1.9333 1.3981
La -0.7732 1.9919 1.8897
Pd 0.0000 0.0000 0.0000
Li 2.1495 -0.6255 1.5388
Sr -0.1873 -0.5668 4.8266

---

(14)
4
Lattice="5.3502 0.0000 0.0000 2.6751 4.6334 0.0000 2.6751 1.5445 4.3684" Properties=species:S:1:pos:R:3 comment="SrLiLaPd (PBE, relaxed)" spacegroup=F-43m delta_e_f_ev_per_atom=-0.26 total_energy_ev_per_atom=-3.69 pbc="T T T"
Li 0.0000 0.0000 0.0000
La 8.0252 4.6334 3.2763
Pd 5.3502 3.0889 2.1842
Sr 2.6751 1.5445 1.0921

---

(15)
5
Lattice="5.6650 0.0000 0.0000 0.0000 5.6650 0.0000 0.0000 0.0000 6.1748" Properties=species:S:1:pos:R:3 comment="SrLiLa2Pd (PBE, relaxed)" spacegroup=P4/mmm polymorph_energy_ev_per_atom=0.017 delta_e_f_ev_per_atom=-0.13 total_energy_ev_per_atom=-3.86 pbc="T T T"
Pd 0.0000 0.0000 0.0000
La 0.0000 2.8325 0.0000
La 2.8325 0.0000 0.0000
Sr 0.0000 0.0000 3.0874
Li 2.8325 2.8325 3.0874

---

(16)
4
Lattice="5.1725 0.0000 0.0000 2.5862 4.4795 0.0000 2.5862 1.4932 4.2233" Properties=species:S:1:pos:R:3 comment="LiLaTbPd (PBE, relaxed)" spacegroup=F-43m delta_e_f_ev_per_atom=-0.34 total_energy_ev_per_atom=-4.51 pbc="T T T"
Tb 7.7587 4.4795 3.1675
Pd 5.1725 2.9863 2.1117
La 2.5862 1.4932 1.0558
Li 0.0000 0.0000 0.0000

---

(17)
10
Lattice="-5.5882 -0.4504 -2.0464 -0.7301 -6.4900 3.4148 -4.8287 -2.4505 5.0039" Properties=species:S:1:pos:R:3 comment="LiLa2TiPd6 (PBE, relaxed)" spacegroup=C2/m delta_e_f_ev_per_atom=-0.50 total_energy_ev_per_atom=-5.58 pbc="T T T"
La -6.7051 -2.9928 1.5522
La -4.4419 -6.3981 4.8201
Pd -4.7565 -5.2904 1.2081
Pd -2.0435 -5.0736 2.2083
Pd -6.3905 -4.1005 5.1642
Pd -7.1164 -6.2828 3.3967
Pd -9.1035 -4.3173 4.1640
Pd -4.0306 -3.1081 2.9756
Ti -3.1592 -3.4702 0.6842
Li 0.0000 0.0000 0.0000

---

(18)
4
Lattice="-0.7853 -4.9067 -0.4865 1.1830 -3.0996 3.7312 -3.6093 -2.2242 2.6373" Properties=species:S:1:pos:R:3 comment="LiLaTlPd (PBE, relaxed)" spacegroup=F-43m delta_e_f_ev_per_atom=-0.46 total_energy_ev_per_atom=-4.06 pbc="T T T"
Tl -0.8029 -2.5576 1.4705
Li -1.6058 -5.1152 2.9410
Pd 0.0000 0.0000 0.0000
La -2.4087 -7.6729 4.4115

---

(19)
8
Lattice="4.7938 0.0000 0.0000 2.3969 4.1516 0.0000 2.3969 1.3839 8.3875" Properties=species:S:1:pos:R:3 comment="LiLaTm2Pd4 (PBE, relaxed)" spacegroup=R-3m delta_e_f_ev_per_atom=-0.78 total_energy_ev_per_atom=-5.35 pbc="T T T"
Tm 7.1907 4.1516 5.9027
Tm 2.3969 1.3839 2.4848
Pd 7.1907 4.1516 3.0916
Pd 2.3969 1.3839 5.2960
Pd 4.7938 2.7677 1.5184
Pd 4.7938 2.7677 6.8691
Li 4.7938 2.7677 4.1938
La 0.0000 0.0000 0.0000

---

(20)
12
Lattice="-2.2695 -3.9025 3.9098 4.1791 -3.8183 -1.3854 1.6289 4.3219 5.2594" Properties=species:S:1:pos:R:3 comment="LiLaZnPd3 (PBE, relaxed)" spacegroup=Cmcm delta_e_f_ev_per_atom=-0.52 total_energy_ev_per_atom=-4.47 pbc="T T T"
Pd 3.1097 -2.8412 -1.0309
Pd 1.9749 -4.7925 0.9240
Pd 1.0694 -0.9771 -0.3545
Pd 0.6604 -0.1790 2.4853
Pd 2.8780 -3.2200 5.2985
Pd -0.0653 -2.9284 1.6004
Zn 1.3593 -4.2054 3.4333
Zn 2.1792 0.8065 4.3505
La 2.8394 -2.0301 1.9025
La 0.6991 -1.3689 5.8813
Li -0.9868 -2.4628 3.8109
Li 4.5253 -0.9362 3.9729

---

(21)
8
Lattice="4.3337 0.0000 0.0000 2.1669 3.7531 0.0000 2.1669 1.2510 8.3853" Properties=species:S:1:pos:R:3 comment="Li2LaZnPd4 (PBE, relaxed)" spacegroup=R-3m delta_e_f_ev_per_atom=-0.58 total_energy_ev_per_atom=-4.43 pbc="T T T"
Pd 2.1669 1.2510 5.1428
Pd 6.5006 3.7531 3.2425
Pd 4.3337 2.5021 1.6439
Pd 4.3337 2.5021 6.7414
Zn 4.3337 2.5021 4.1926
La 0.0000 0.0000 0.0000
Li 2.1669 1.2510 2.5101
Li 6.5006 3.7531 5.8752

---

(22)
10
Lattice="4.2827 0.0000 0.0000 0.0000 4.2827 0.0000 0.0000 0.0000 10.8692" Properties=species:S:1:pos:R:3 comment="LiLa2Zn4Pd3 (PBE, relaxed)" spacegroup=P-4m2 delta_e_f_ev_per_atom=-0.54 total_energy_ev_per_atom=-3.79 pbc="T T T"
Pd 2.1414 0.0000 9.3849
Pd 0.0000 2.1414 1.4843
Pd 0.0000 0.0000 5.4346
Zn 0.0000 2.1414 4.0340
Zn 0.0000 0.0000 0.0000
Zn 2.1414 2.1414 0.0000
Zn 2.1414 0.0000 6.8352
La 2.1414 0.0000 2.6280
La 0.0000 2.1414 8.2412
Li 2.1414 2.1414 5.4346

---

(23)
5
Lattice="-3.7069 2.5911 1.2519 -0.9513 -3.0301 3.4548 2.8580 2.6048 3.0715" Properties=species:S:1:pos:R:3 comment="Li2LaZnPd (PBE, relaxed)" spacegroup=P4/mmm delta_e_f_ev_per_atom=-0.16 total_energy_ev_per_atom=-3.20 pbc="T T T"
La -0.9001 1.0829 3.8891
Zn 1.4290 1.3024 1.5358
Pd 0.0000 0.0000 0.0000
Li -0.4756 -1.5151 1.7274
Li -1.8535 1.2955 0.6259

---

(24)
10
Lattice="-6.1221 -2.6211 1.7143 2.2410 -5.7205 -0.7958 -0.3730 -4.9363 4.7488" Properties=species:S:1:pos:R:3 comment="LiLa2ZnPd6 (PBE, relaxed)" spacegroup=P-1 delta_e_f_ev_per_atom=-0.50 total_energy_ev_per_atom=-4.92 pbc="T T T"
Pd -3.2449 -8.4709 3.0473
Pd -1.2110 -6.9950 4.7188
Pd -1.0091 -4.8071 2.6200
Pd -4.6198 -8.4832 5.6978
Pd 0.3657 -4.7947 -0.0305
Pd -3.0430 -6.2829 0.9485
La -4.2321 -5.7028 3.6311
La -0.0220 -7.5751 2.0362
Zn -1.9405 -4.1708 0.4592
Li 0.0000 0.0000 0.0000

---

(25)
5
Lattice="4.8343 0.0000 0.0000 0.0000 5.2991 0.0000 0.0000 0.0000 4.8343" Properties=species:S:1:pos:R:3 comment="LiLaZnPd2 (PBE, relaxed)" spacegroup=P4/mmm polymorph_energy_ev_per_atom=0.831 delta_e_f_ev_per_atom=0.20 total_energy_ev_per_atom=-3.51 pbc="T T T"
Pd 2.4171 0.0000 0.0000
Pd 0.0000 0.0000 2.4171
Zn 0.0000 0.0000 0.0000
Li 2.4171 2.6495 2.4171
La 0.0000 2.6495 0.0000

---

| no. | V (Å³/cell) |
| --- | --- |
| 1 | 345.2 |
| 2 | 146.9 |
| 3 | 201.3 |
| 4 | 214.6 |
| 5 | 92.2 |
| 6 | 186.1 |
| 7 | 108.0 |
| 8 | 116.8 |
| 9 | 183.8 |
| 10 | 231.5 |
| 11 | 144.3 |
| 12 | 154.8 |
| 13 | 176.8 |
| 14 | 108.3 |
| 15 | 198.2 |
| 16 | 97.9 |
| 17 | 201.0 |
| 18 | 88.0 |
| 19 | 166.9 |
| 20 | 221.5 |
| 21 | 136.4 |
| 22 | 199.4 |
| 23 | 108.8 |
| 24 | 194.9 |
| 25 | 123.8 |